No. 1
! Ce2ThP | Alexandria | GGA-PBE | optimized geometry; values from VASP
! * ΔE_f: -0.55 eV per atom
! * relative energy among the computed polymorphs: 0.000 eV per atom
! * volume: 113 Å³ per cell
&SYSTEM
  ibrav = 0, nat = 4, ntyp = 3
/
ATOMIC_SPECIES
Ce 140.12 Ce.upf
P 30.97 P.upf
Th 232.04 Th.upf
CELL_PARAMETERS angstrom
-1.3074 -1.0247 -3.3526
1.0414 -3.2676 -1.4959
-7.3156 -5.6097 2.4783
ATOMIC_POSITIONS angstrom
Ce -1.4585 -2.2230 -0.8402
Ce -5.9443 -4.8166 1.7014
P -7.4930 -8.4712 -0.7541
Th -3.7923 -4.9518 -1.1843

No. 2
! NaSc2MnAl | Alexandria | GGA-PBE | optimized geometry; values from VASP
! * ΔE_f: 1.55 eV per atom
! * volume: 112 Å³ per cell
&SYSTEM
  ibrav = 0, nat = 5, ntyp = 4
/
ATOMIC_SPECIES
Sc 44.96 Sc.upf
Al 26.98 Al.upf
Na 22.99 Na.upf
Mn 54.94 Mn.upf
CELL_PARAMETERS angstrom
-2.8323 3.6600 -1.6527
-0.9347 -2.4537 -3.8322
-3.8923 -2.0039 2.2324
ATOMIC_POSITIONS angstrom
Sc -1.4161 1.8300 -0.8263
Sc -1.9461 -1.0020 1.1162
Al -0.4673 -1.2269 -1.9161
Na 0.0000 0.0000 0.0000
Mn -3.8296 -0.3988 -1.6263

No. 3
! SrV2H8 | Alexandria | GGA-PBE | optimized geometry; values from VASP
! * raw total energy: -49.30 eV for the cell shown
! * volume: 93 Å³ per cell
&SYSTEM
  ibrav = 0, nat = 11, ntyp = 3
/
ATOMIC_SPECIES
H 1.01 H.upf
Sr 87.62 Sr.upf
V 50.94 V.upf
CELL_PARAMETERS angstrom
5.1010 0.0620 -0.0417
-0.0664 4.0435 -2.1581
0.0398 -0.1516 4.5812
ATOMIC_POSITIONS angstrom
H 3.3070 2.8919 1.7481
H 4.6239 1.2907 2.2895
Sr 0.2790 3.8839 2.4133
H 1.6999 3.9693 0.3476
H 4.5885 2.6892 0.0429
V 2.8951 2.6687 0.0569
H 1.7321 1.7539 1.0645
H 3.3486 0.9452 3.9765
V 2.9305 1.2703 2.3034
H 1.7474 2.0885 3.3690
H 3.2705 4.0321 -0.9825

No. 4
! Zr12Tl3Ir | Alexandria | GGA-PBE | optimized geometry; values from VASP
! * ΔE_f: -0.15 eV per atom
! * volume: 352 Å³ per cell
&SYSTEM
  ibrav = 0, nat = 16, ntyp = 3
/
ATOMIC_SPECIES
Zr 91.22 Zr.upf
Tl 204.38 Tl.upf
Ir 192.22 Ir.upf
CELL_PARAMETERS angstrom
4.5629 0.0000 0.0000
0.0000 4.5629 0.0000
0.0000 0.0000 16.9277
ATOMIC_POSITIONS angstrom
Zr 2.2814 2.2814 0.0000
Tl 0.0000 0.0000 12.8551
Tl 0.0000 0.0000 8.4639
Tl 0.0000 0.0000 4.0726
Zr 2.2814 0.0000 6.2861
Zr 2.2814 2.2814 12.8926
Zr 2.2814 0.0000 10.6416
Zr 0.0000 2.2814 15.1146
Zr 0.0000 2.2814 10.6416
Zr 2.2814 2.2814 8.4639
Zr 2.2814 0.0000 1.8131
Ir 0.0000 0.0000 0.0000
Zr 2.2814 2.2814 4.0351
Zr 2.2814 0.0000 15.1146
Zr 0.0000 2.2814 6.2861
Zr 0.0000 2.2814 1.8131